Entry 1:
Nd6Sb2TeS3: relaxed, GGA-PBE.

a b c (Å): 4.2684 8.6491 9.6389
angles (deg): 103.83 102.79 90.00
Positions (direct):
Nd 0.3248 0.9285 0.6495
Nd 0.6611 0.5965 0.3223
Nd 0.6752 0.0715 0.3505
Nd 0.9941 0.2741 0.9881
Nd 0.0059 0.7259 0.0119
Nd 0.3389 0.4035 0.6777
Sb 0.8341 0.6684 0.6683
Sb 0.1659 0.3316 0.3317
Te 0.5000 0.0000 0.0000
S 0.5000 0.5000 0.0000
S 0.8340 0.1659 0.6680
S 0.1660 0.8341 0.3320

Calculated values
Volume in Å³ per cell: 336.4
E_form (uncorrected) in meV per atom: -1629
SG: No. 12
Total moment in μB per cell: 0.00
Density in Mg/m³: 6.578

***

Entry 2:
Pu2ZrPa: relaxed, GGA-PBE.

a b c (Å): 5.1269 5.1269 5.1269
angles (deg): 60.00 60.00 60.00
Positions (direct):
Pa 0.0000 0.0000 0.0000
Zr 0.5000 0.5000 0.5000
Pu 0.2500 0.2500 0.2500
Pu 0.7500 0.7500 0.7500

Calculated values
Volume in Å³ per cell: 95.3
SG: No. 225
Total moment in μB per cell: 11.61
Density in Mg/m³: 14.120
E above lowest polymorph in meV per atom: 93

***

Entry 3:
Pa4CoGe2: relaxed, GGA-PBE.

a b c (Å): 4.7120 4.7120 8.6150
angles (deg): 105.87 105.87 90.00
Positions (direct):
Pa 0.8191 0.8191 0.6383
Pa 0.1809 0.1809 0.3617
Pa 0.0000 0.5000 0.0000
Pa 0.5000 0.0000 0.0000
Co 0.0000 0.0000 0.0000
Ge 0.3672 0.3672 0.7343
Ge 0.6328 0.6328 0.2657

Calculated values
Volume in Å³ per cell: 176.4
Energy in eV per atom: -7.7743
SG: No. 139
Total moment in μB per cell: 3.72
Density in Mg/m³: 10.622

***

Number 3 is which compound? Pa4CoGe2

***

What is the volume in the first record? 336.4 Å³ per cell